Entry 1:
{
  "formula": "LaMn2CuSi",
  "functional": "GGA-PBE",
  "state": "relaxed",
  "formation_energy_uncorrected_kj_per_mol_fu": 80,
  "sg": "P4/mmm, No. 123",
  "relative_energy_mev_per_atom": 0,
  "lattice_angstrom": [[4.6349, 0.0000, 0.0000], [0.0000, 4.4897, 0.0000], [0.0000, 0.0000, 4.6349]],
  "species": ["Si", "Mn", "Mn", "Cu", "La"],
  "fractional_positions": [[0.0000, 0.0000, 0.0000], [0.0000, 0.0000, 0.5000], [0.5000, 0.0000, 0.0000], [0.0000, 0.5000, 0.0000], [0.5000, 0.5000, 0.5000]]
}

***

Entry 2:
{
  "formula": "LaMn2CuSi",
  "functional": "GGA-PBE",
  "state": "relaxed",
  "formation_energy_uncorrected_kj_per_mol_fu": 259,
  "sg": "P4/mmm, No. 123",
  "relative_energy_mev_per_atom": 371,
  "lattice_angstrom": [[-2.5758, -3.6117, -1.1481], [2.4228, -0.0876, -5.1600], [3.2512, -2.8193, 1.5744]],
  "species": ["Si", "Mn", "Mn", "Cu", "La"],
  "fractional_positions": [[0.0000, 0.0000, 0.0000], [0.0000, 0.0000, 0.5000], [0.5000, 0.0000, 0.0000], [0.5000, 0.5000, 0.5000], [0.0000, 0.5000, 0.0000]]
}

***

Entry 3:
{
  "formula": "LaSmMnCu",
  "functional": "GGA-PBE",
  "state": "relaxed",
  "e_form_kj_per_mol_fu": 40.6,
  "sg": "F-43m, No. 216",
  "lattice_angstrom": [[5.1322, 0.0000, 0.0000], [2.5661, 4.4446, 0.0000], [2.5661, 1.4815, 4.1904]],
  "species": ["Mn", "Cu", "Sm", "La"],
  "fractional_positions": [[0.7500, 0.7500, 0.7500], [0.2500, 0.2500, 0.2500], [0.5000, 0.5000, 0.5000], [0.0000, 0.0000, 0.0000]]
}

***

no.,electronic total energy (eV/atom),M_tot (μB/f.u.)
1,-6.39,5.9
2,-6.02,7.5
3,-5.62,2.9